(1)
Crystalline Ba3HoTc2O9 at its relaxed geometry. Source: Alexandria, functional PBE.

Values from the calculation:
total DFT energy (no corrections)	-7.4580	eV/atom
energy relative to the elements, uncorrected	-2.41	eV per atom

a b c (Å): 5.8700 5.8700 7.1924
angles (deg): 90.00 90.00 120.00
Space group P-3m1 (No. 164)
Inequivalent atoms, fractional coordinates:
Ba (0.0000, 0.0000, 0.0000)
Ba (0.3333, 0.6667, 0.6629)
Ho (0.0000, 0.0000, 0.5000)
Tc (0.3333, 0.6667, 0.1515)
O (0.0000, 0.5000, 0.0000)
O (0.1763, 0.3526, 0.3175)



(2)
Crystalline Ba2HoTcO6 at its relaxed geometry. Source: Alexandria, functional PBE.

Values from the calculation:
total DFT energy (no corrections)	-7.3582	eV/atom
energy relative to the elements, uncorrected	-2.50	eV per atom

a b c (Å): 6.0341 6.0341 30.1545
angles (deg): 90.00 90.00 120.00
Space group R-3m (No. 166, hexagonal axes)
Inequivalent atoms, fractional coordinates:
Ba (0.0000, 0.0000, 0.1345)
Ba (0.0000, 0.0000, 0.2810)
Ho (0.0000, 0.0000, 0.4058)
Tc (0.0000, 0.0000, 0.0000)
Tc (0.0000, 0.0000, 0.5000)
O (0.0230, 0.5115, 0.1273)
O (0.0254, 0.5127, 0.7042)



energy relative to the elements, uncorrected of number 2 (Ba2HoTcO6)?
-2.50 eV per atom



Which of these has the lowest energy relative to the elements, uncorrected?
Ba2HoTcO6



What is the formula in the first record?
Ba3HoTc2O9



Look up the total DFT energy (no corrections) of the first one.
-7.4580 eV/atom